Crystalline WIF3 at its relaxed geometry. Source: the Alexandria database, functional GGA+U.

As for the calculated volume: 17.1 A^3/atom. For the total energy, the calculation gives -4.46 eV per atom.

The structure belongs to space group Pm-3m (No. 221); the cell edges are 4.4021, 4.4021 and 4.4021 Å and the angles 90.00°, 90.00° and 90.00°. The asymmetric unit holds W at (0.0000, 0.0000, 0.0000), I at (0.5000, 0.5000, 0.5000) and F at (0.0000, 0.0000, 0.5000).